(1)
Nb2CuPt2 | GGA-PBE | relaxed

```
Nb2CuPt2
1.0
4.027 0.000 0.000
0.000 4.027 0.000
2.014 2.014 5.904
Nb Pt Cu
2 2 1
Direct
0.250 0.750 0.500
0.750 0.250 0.500
0.605 0.605 0.791
0.395 0.395 0.209
0.000 0.000 0.000
```

Calculated values
* ΔE to the lowest computed polymorph: 337 meV per atom

(2)
CaNiSb2 | GGA-PBE | relaxed

```
CaNiSb2
1.0
5.220 0.000 0.000
0.000 5.220 0.000
2.610 2.610 8.280
Ni Sb Ca
2 4 2
Direct
0.000 0.000 0.000
0.750 0.250 0.500
0.011 0.625 0.250
0.739 0.125 0.250
0.375 0.261 0.750
0.875 0.989 0.750
0.500 0.500 0.000
0.250 0.750 0.500
```

Calculated values
* formation energy (no corrections): -24.8 kJ per mole of atoms

(3)
ScSeI3 | GGA-PBE | relaxed

```
ScSeI3
1.0
5.761 0.000 0.000
0.000 5.761 0.000
0.000 0.000 5.761
I Sc Se
3 1 1
Direct
0.000 0.000 0.500
0.000 0.500 0.000
0.500 0.000 0.000
0.500 0.500 0.500
0.000 0.000 0.000
```

Calculated values
* ΔE to the lowest computed polymorph: 645 meV per atom
* formation energy (no corrections): 27.1 kJ per mole of atoms

(4)
ZnCu2Tc | GGA-PBE | relaxed

```
ZnCu2Tc
1.0
8.730 -0.020 -0.012
8.325 2.628 -0.012
8.325 1.273 2.299
Cu Zn Tc
2 1 1
Direct
0.253 0.253 0.253
0.998 0.998 0.998
0.747 0.747 0.747
0.502 0.502 0.502
```

Calculated values
* E: -0.1774 Ha/atom